(1)
A plane-wave DFT calculation with GGA-PBE was carried out for ZrPBr2 after structural relaxation.

Unit cell a=4.9026 b=4.9026 c=3.4335 alpha=90.00 beta=90.00 gamma=90.00
Positions (direct):
Br: 0.5000 0.5000 0.0000
Br: 0.0000 0.0000 0.0000
Zr: 0.0000 0.5000 0.5000
P: 0.5000 0.0000 0.5000

Output
density	5.7	g cm⁻³
DOS at the Fermi energy	0.609	states/eV/atom
E_form (uncorrected)	0.2669	eV per atom
M_tot	0.00	μB per cell
raw total energy	-16.24	eV per formula unit


(2)
A plane-wave DFT calculation with GGA-PBE was carried out for Zr2PBr after structural relaxation.

Unit cell a=6.7249 b=6.7249 c=6.7249 alpha=149.41 beta=148.80 gamma=44.25
Positions (direct):
Br: 0.4579 0.4579 0.0000
Zr: 0.0533 0.0533 0.0000
Zr: 0.7800 0.2800 0.5000
P: 0.2089 0.7089 0.5000

Output
density	6.1	g cm⁻³
DOS at the Fermi energy	0.063	states/eV/atom
E_form (uncorrected)	-0.9372	eV per atom
M_tot	0.00	μB per cell
raw total energy	-27.93	eV per formula unit


(3)
A plane-wave DFT calculation with GGA-PBE was carried out for ZrPBr2 after structural relaxation.

Unit cell a=3.5421 b=3.5421 c=8.2042 alpha=90.00 beta=90.00 gamma=90.00
Positions (direct):
Zr: 0.5000 0.5000 0.6754
Br: 0.5000 0.5000 0.3449
Br: 0.0000 0.0000 0.9161
P: 0.0000 0.0000 0.5636

Output
density	4.5	g cm⁻³
DOS at the Fermi energy	0.655	states/eV/atom
E_form (uncorrected)	-0.6510	eV per atom
M_tot	0.00	μB per cell
raw total energy	-19.91	eV per formula unit


(4)
A plane-wave DFT calculation with GGA-PBE was carried out for Zr2PBr after structural relaxation.

Unit cell a=5.2147 b=3.5434 c=4.3107 alpha=89.99 beta=90.00 gamma=90.00
Positions (direct):
Br: 0.0000 0.3752 0.4559
P: 0.5000 0.8748 0.8058
Zr: 0.5000 0.3747 0.2745
Zr: 0.0000 0.8753 0.9638

Output
density	6.1	g cm⁻³
DOS at the Fermi energy	0.652	states/eV/atom
E_form (uncorrected)	-0.6629	eV per atom
M_tot	0.00	μB per cell
raw total energy	-26.83	eV per formula unit


(5)
A plane-wave DFT calculation with GGA-PBE was carried out for Zr2PBr after structural relaxation.

Unit cell a=4.7186 b=4.7186 c=4.7186 alpha=60.00 beta=60.00 gamma=60.00
Positions (direct):
Zr: 0.2500 0.2500 0.2500
Zr: 0.7500 0.7500 0.7500
P: 0.0000 0.0000 0.0000
Br: 0.5000 0.5000 0.5000

Output
density	6.6	g cm⁻³
DOS at the Fermi energy	0.055	states/eV/atom
E_form (uncorrected)	-0.7267	eV per atom
M_tot	0.00	μB per cell
raw total energy	-27.09	eV per formula unit


(6)
A plane-wave DFT calculation with GGA-PBE was carried out for Zr2PBr after structural relaxation.

Unit cell a=9.2433 b=9.2433 c=9.2433 alpha=22.38 beta=22.38 gamma=22.38
Positions (direct):
P: 0.7262 0.7262 0.7262
Zr: 0.2512 0.2512 0.2512
Zr: 0.0065 0.0065 0.0065
Br: 0.5160 0.5160 0.5160

Output
density	4.8	g cm⁻³
DOS at the Fermi energy	0.640	states/eV/atom
E_form (uncorrected)	-0.5474	eV per atom
M_tot	0.00	μB per cell
raw total energy	-26.37	eV per formula unit


(7)
A plane-wave DFT calculation with GGA-PBE was carried out for Zr2PBr after structural relaxation.

Unit cell a=3.3194 b=3.3194 c=6.9221 alpha=90.00 beta=90.00 gamma=89.98
Positions (direct):
P: 0.5000 0.5000 0.7500
Zr: 0.0000 0.0000 0.9651
Zr: 0.0000 0.0000 0.5349
Br: 0.5000 0.5000 0.2500

Output
density	6.4	g cm⁻³
DOS at the Fermi energy	0.421	states/eV/atom
E_form (uncorrected)	-0.7794	eV per atom
M_tot	0.00	μB per cell
raw total energy	-27.30	eV per formula unit


(8)
A plane-wave DFT calculation with GGA-PBE was carried out for Zr2PBr after structural relaxation.

Unit cell a=5.2177 b=5.2177 c=4.7144 alpha=80.54 beta=80.54 gamma=37.82
Positions (direct):
P: 0.7311 0.7311 0.8469
Zr: 0.2489 0.2489 0.3138
Zr: 0.0121 0.0121 0.9149
Br: 0.5078 0.5078 0.4244

Output
density	6.3	g cm⁻³
DOS at the Fermi energy	0.472	states/eV/atom
E_form (uncorrected)	-0.6618	eV per atom
M_tot	0.00	μB per cell
raw total energy	-26.83	eV per formula unit


(9)
A plane-wave DFT calculation with GGA-PBE was carried out for Zr2P2Br after structural relaxation.

Unit cell a=7.4527 b=7.4527 c=3.4511 alpha=90.00 beta=90.00 gamma=90.00
Positions (direct):
P: 0.8664 0.3664 0.5000
P: 0.1336 0.6336 0.5000
P: 0.3664 0.1336 0.5000
P: 0.6336 0.8664 0.5000
Zr: 0.3492 0.8492 0.0000
Zr: 0.8492 0.6508 0.0000
Zr: 0.6508 0.1508 0.0000
Zr: 0.1508 0.3492 0.0000
Br: 0.0000 0.0000 0.0000
Br: 0.5000 0.5000 0.0000

Output
density	5.6	g cm⁻³
DOS at the Fermi energy	0.248	states/eV/atom
E_form (uncorrected)	-1.0516	eV per atom
M_tot	0.00	μB per cell
raw total energy	-34.85	eV per formula unit


(10)
A plane-wave DFT calculation with GGA-PBE was carried out for ZrP2Br2 after structural relaxation.

Unit cell a=3.3126 b=3.3126 c=11.3886 alpha=81.64 beta=81.64 gamma=90.00
Site moments in Bohr magnetons follow the coordinates.
Positions (direct):
P: 0.7500 0.2500 0.5000  0.00
P: 0.2500 0.7500 0.5000  0.00
Br: 0.4253 0.4253 0.1494  -0.01
Br: 0.5747 0.5747 0.8506  -0.01
Zr: 0.0000 0.0000 0.0000  0.29

Output
density	4.2	g cm⁻³
DOS at the Fermi energy	0.469	states/eV/atom
E_form (uncorrected)	-0.4003	eV per atom
M_tot	0.41	μB per cell
raw total energy	-24.71	eV per formula unit


(11)
A plane-wave DFT calculation with GGA-PBE was carried out for ZrPBr2 after structural relaxation.

Unit cell a=9.9427 b=9.9427 c=7.4716 alpha=48.29 beta=48.29 gamma=90.00
Site moments in Bohr magnetons follow the coordinates.
Positions (direct):
Br: 0.9759 0.6250 0.2500  0.08
Br: 0.3750 0.2259 0.7500  0.07
Br: 0.8750 0.0241 0.7500  0.07
Br: 0.7741 0.1250 0.2500  0.08
Zr: 0.0000 0.0000 0.0000  0.07
Zr: 0.7500 0.2500 0.5000  0.07
P: 0.2500 0.7500 0.5000  0.30
P: 0.5000 0.5000 0.0000  0.29

Output
density	3.7	g cm⁻³
DOS at the Fermi energy	0.451	states/eV/atom
E_form (uncorrected)	-0.4860	eV per atom
M_tot	2.00	μB per cell
raw total energy	-19.25	eV per formula unit


(12)
A plane-wave DFT calculation with GGA-PBE was carried out for ZrP2Br2 after structural relaxation.

Unit cell a=7.3512 b=7.3512 c=7.2228 alpha=90.00 beta=90.00 gamma=90.00
Site moments in Bohr magnetons follow the coordinates.
Positions (direct):
Br: 0.8037 0.6963 0.0000  -0.03
Br: 0.1963 0.3037 0.0000  -0.03
Br: 0.3037 0.8037 0.0000  -0.03
Br: 0.6963 0.1963 0.0000  -0.03
P: 0.0920 0.5920 0.5000  0.03
P: 0.9080 0.4080 0.5000  0.03
P: 0.5920 0.9080 0.5000  0.03
P: 0.4080 0.0920 0.5000  0.03
Zr: 0.5000 0.5000 0.0000  1.18
Zr: 0.0000 0.0000 0.0000  1.19

Output
density	2.7	g cm⁻³
DOS at the Fermi energy	0.373	states/eV/atom
E_form (uncorrected)	0.0187	eV per atom
M_tot	4.00	μB per cell
raw total energy	-22.62	eV per formula unit


(13)
A plane-wave DFT calculation with GGA-PBE was carried out for ZrPBr3 after structural relaxation.

Unit cell a=5.1712 b=5.1712 c=5.1712 alpha=90.00 beta=90.00 gamma=90.00
Site moments in Bohr magnetons follow the coordinates.
Positions (direct):
P: 0.0000 0.0000 0.0000  0.01
Zr: 0.5000 0.5000 0.5000  1.70
Br: 0.5000 0.0000 0.0000  -0.01
Br: 0.0000 0.5000 0.0000  -0.01
Br: 0.0000 0.0000 0.5000  -0.01

Output
density	4.3	g cm⁻³
DOS at the Fermi energy	1.174	states/eV/atom
E_form (uncorrected)	0.4961	eV per atom
M_tot	2.62	μB per cell
raw total energy	-16.50	eV per formula unit


(14)
A plane-wave DFT calculation with GGA-PBE was carried out for ZrPBr2 after structural relaxation.

Unit cell a=3.8401 b=7.7008 c=7.7013 alpha=38.54 beta=90.00 gamma=90.00
Site moments in Bohr magnetons follow the coordinates.
Positions (direct):
P: 0.5000 0.2500 0.2500  0.24
Br: 0.0000 0.6160 0.6162  0.04
Br: 0.0000 0.8840 0.8838  0.04
Zr: 0.5000 0.7500 0.7500  -0.03

Output
density	3.3	g cm⁻³
DOS at the Fermi energy	0.655	states/eV/atom
E_form (uncorrected)	-0.6385	eV per atom
M_tot	0.63	μB per cell
raw total energy	-19.86	eV per formula unit


(15)
A plane-wave DFT calculation with GGA-PBE was carried out for ZrPBr2 after structural relaxation.

Unit cell a=8.5464 b=8.5464 c=8.5464 alpha=156.35 beta=153.42 gamma=35.87
Positions (direct):
P: 0.7500 0.2500 0.5000
Br: 0.1046 0.1046 0.0000
Br: 0.3954 0.3954 0.0000
Zr: 0.2500 0.7500 0.5000

Output
density	4.2	g cm⁻³
DOS at the Fermi energy	0.681	states/eV/atom
E_form (uncorrected)	-0.7015	eV per atom
M_tot	0.00	μB per cell
raw total energy	-20.11	eV per formula unit


(16)
A plane-wave DFT calculation with GGA-PBE was carried out for ZrPBr2 after structural relaxation.

Unit cell a=7.5367 b=7.5367 c=7.5367 alpha=152.06 beta=138.48 gamma=50.79
Positions (direct):
Br: 0.0898 0.0898 0.0000
Br: 0.7951 0.2951 0.5000
Zr: 0.2452 0.7452 0.5000
P: 0.3700 0.3700 0.0000

Output
density	3.5	g cm⁻³
DOS at the Fermi energy	0.208	states/eV/atom
E_form (uncorrected)	-0.4849	eV per atom
M_tot	0.00	μB per cell
raw total energy	-19.24	eV per formula unit


(17)
A plane-wave DFT calculation with GGA-PBE was carried out for ZrPBr2 after structural relaxation.

Unit cell a=3.3692 b=5.3715 c=4.6376 alpha=90.00 beta=90.00 gamma=90.00
Positions (direct):
Zr: 0.0000 0.5000 0.5000
Br: 0.0000 0.0000 0.0000
Br: 0.5000 0.5000 0.0000
P: 0.5000 0.0000 0.5000

Output
density	5.6	g cm⁻³
DOS at the Fermi energy	0.742	states/eV/atom
E_form (uncorrected)	0.0296	eV per atom
M_tot	0.00	μB per cell
raw total energy	-17.19	eV per formula unit


(18)
A plane-wave DFT calculation with GGA-PBE was carried out for ZrPBr2 after structural relaxation.

Unit cell a=3.4296 b=3.4296 c=11.0872 alpha=90.00 beta=90.00 gamma=122.06
Site moments in Bohr magnetons follow the coordinates.
Positions (direct):
Zr: 0.5000 0.5000 0.7500  -0.04
P: 0.5000 0.5000 0.2500  0.40
Br: 0.0000 0.0000 0.9423  0.01
Br: 0.0000 0.0000 0.5577  0.01

Output
density	4.2	g cm⁻³
DOS at the Fermi energy	0.617	states/eV/atom
E_form (uncorrected)	0.0465	eV per atom
M_tot	0.88	μB per cell
raw total energy	-17.12	eV per formula unit


(19)
A plane-wave DFT calculation with GGA-PBE was carried out for ZrPBr2 after structural relaxation.

Unit cell a=4.9641 b=4.9641 c=7.9574 alpha=72.19 beta=72.19 gamma=42.98
Site moments in Bohr magnetons follow the coordinates.
Positions (direct):
Zr: 0.7278 0.7278 0.6249  0.04
Br: 0.0935 0.0935 0.8971  0.08
Br: 0.2472 0.2472 0.3529  0.08
P: 0.4315 0.4315 0.6251  0.30

Output
density	3.7	g cm⁻³
DOS at the Fermi energy	0.328	states/eV/atom
E_form (uncorrected)	-0.7761	eV per atom
M_tot	0.99	μB per cell
raw total energy	-20.41	eV per formula unit


(20)
A plane-wave DFT calculation with GGA-PBE was carried out for ZrPBr2 after structural relaxation.

Unit cell a=5.2989 b=5.2989 c=5.2989 alpha=130.59 beta=130.59 gamma=72.46
Site moments in Bohr magnetons follow the coordinates.
Positions (direct):
Zr: 0.7500 0.2500 0.5000  0.07
Br: 0.0000 0.0000 0.0000  0.04
Br: 0.5000 0.5000 0.0000  0.04
P: 0.2500 0.7500 0.5000  0.28

Output
density	5.6	g cm⁻³
DOS at the Fermi energy	0.485	states/eV/atom
E_form (uncorrected)	0.0210	eV per atom
M_tot	0.83	μB per cell
raw total energy	-17.22	eV per formula unit